No. 1
DFT (PBE) results for a relaxed Mg2ScBr crystal.

Cell lengths 3.3241, 3.3241, 10.1321 Å; angles 90.00, 90.00, 111.49 degrees
Closest atoms and distances in Å follow each position.
Positions (direct):
1 Mg 0.0000 0.0000 0.0000  2 Sc 3.05, 6 Mg 3.09-3.32
2 Mg 0.5000 0.5000 0.2431  6 Mg 3.09-3.32
3 Sc 0.5000 0.5000 0.7620  2 Br 2.70
4 Br 0.0000 0.0000 0.5703  2 Sc 2.70

Values from the calculation:
D(E_F), states/eV/f.u.: 3.3
Formation energy (no corrections), meV per atom: -325
M_tot, μB per atom: 0.000
Space group: Cmm2 (35)
Energy, eV/atom: -3.12
Crystal system: orthorhombic


No. 2
DFT (PBE) results for a relaxed CuIrBr crystal.

Cell lengths 7.0093, 6.6475, 3.0275 Å; angles 83.98, 70.59, 25.44 degrees
Closest atoms and distances in Å follow each position.
Positions (direct):
1 Cu 0.0000 0.0000 0.0000  2 Ir 2.50, 2 Br 2.63
2 Ir 0.6569 0.6569 0.3431  2 Cu 2.50, 2 Br 2.68
3 Br 0.3308 0.3308 0.6692  2 Cu 2.63, 2 Ir 2.68, 2 Br 2.91

Values from the calculation:
D(E_F), states/eV/f.u.: 2.0
Formation energy (no corrections), meV per atom: 736
M_tot, μB per atom: 0.000
Space group: Fmm2 (42)
Energy, eV/atom: -4.14
Crystal system: orthorhombic


No. 3
DFT (PBE) results for a relaxed EuDy2Pu crystal.

Cell lengths 12.5201, 12.5201, 12.5201 Å; angles 15.97, 15.97, 15.97 degrees
Closest atoms and distances in Å follow each position.
Positions (direct):
1 Eu 0.0000 0.0000 0.0000  2 Dy 3.42, 6 Eu 3.48
2 Dy 0.0921 0.0921 0.0921  1 Eu 3.42, 3 Pu 3.42, 6 Dy 3.48
3 Dy 0.9079 0.9079 0.9079  1 Eu 3.42, 3 Pu 3.42, 6 Dy 3.48
4 Pu 0.5000 0.5000 0.5000  6 Dy 3.42, 6 Pu 3.48

Values from the calculation:
ΔE_f, eV per atom: 0.25
D(E_F), states/eV/f.u.: 12.4
M_tot, μB per atom: 0.419
Space group: R-3m (166)
Energy, eV/atom: -8.21
Crystal system: trigonal


No. 4
DFT (PBE) results for a relaxed Ir2SeCl crystal.

Cell lengths 4.4696, 4.4696, 4.4696 Å; angles 60.00, 60.00, 60.00 degrees
Closest atoms and distances in Å follow each position.
Positions (direct):
1 Ir 0.2500 0.2500 0.2500  4 Cl 2.74, 4 Se 2.74
2 Ir 0.7500 0.7500 0.7500  4 Cl 2.74, 4 Se 2.74
3 Se 0.0000 0.0000 0.0000  8 Ir 2.74
4 Cl 0.5000 0.5000 0.5000  8 Ir 2.74

Values from the calculation:
D(E_F), states/eV/f.u.: 5.6
Formation energy (no corrections), meV per atom: 886
M_tot, μB per atom: 0.000
Space group: Fm-3m (225)
Energy, eV/atom: -4.88
Crystal system: cubic


No. 5
DFT (PBE) results for a relaxed TeOsS2N crystal.

Cell lengths 5.0705, 5.0705, 3.8584 Å; angles 90.00, 90.00, 90.00 degrees
Closest atoms and distances in Å follow each position.
Positions (direct):
1 Te 0.0000 0.0000 0.0000  2 N 1.93
2 Os 0.5000 0.5000 0.5000  8 S 3.19
3 S 0.0000 0.5000 0.0000  2 Te 2.54
4 S 0.5000 0.0000 0.0000  2 Te 2.54
5 N 0.0000 0.0000 0.5000  2 Te 1.93

Values from the calculation:
D(E_F), states/eV/f.u.: 4.3
Formation energy (no corrections), meV per atom: 1942
M_tot, μB per atom: 0.781
Space group: P4/mmm (123)
Energy, eV/atom: -4.25
Crystal system: tetragonal


No. 6
DFT (PBE) results for a relaxed CdIr2Ru2 crystal.

Cell lengths 7.5994, 7.5994, 2.7745 Å; angles 90.00, 90.00, 90.00 degrees
Closest atoms and distances in Å follow each position.
Positions (direct):
1 Cd 0.0000 0.0000 0.0000  2 Cd 2.77, 4 Ir 3.02
2 Cd 0.5000 0.5000 0.0000  2 Cd 2.77, 4 Ir 3.02
3 Ir 0.1226 0.3774 0.0000  6 Ru 2.60-2.67, 3 Ir 2.63-2.77
4 Ir 0.3774 0.8774 0.0000  6 Ru 2.60-2.67, 3 Ir 2.63-2.77
5 Ir 0.6226 0.1226 0.0000  6 Ru 2.60-2.67, 3 Ir 2.63-2.77
6 Ir 0.8774 0.6226 0.0000  6 Ru 2.60-2.67, 3 Ir 2.63-2.77
7 Ru 0.1727 0.6727 0.5000  6 Ir 2.60-2.67, 2 Ru 2.77
8 Ru 0.3273 0.1727 0.5000  6 Ir 2.60-2.67, 2 Ru 2.77
9 Ru 0.6727 0.8273 0.5000  6 Ir 2.60-2.67, 2 Ru 2.77
10 Ru 0.8273 0.3273 0.5000  6 Ir 2.60-2.67, 2 Ru 2.77

Values from the calculation:
ΔE_f, eV per atom: 0.23
D(E_F), states/eV/f.u.: 4.6
M_tot, μB per atom: 0.000
Space group: P4/mbm (127)
Energy, eV/atom: -7.21
Crystal system: tetragonal